No. 1
First-principles (PBE-GGA) data for a relaxed structure of YZnGa2Ag, as listed in Alexandria.

Calculated values
- Total magnetization: 0.00 μB per formula unit
- ΔE_f: -0.409 eV/atom
- Calculated density: 6.9 g cm⁻³

a = 4.1912 Å, b = 4.1912 Å, c = 10.9632 Å
α = 90.00°, β = 90.00°, γ = 90.00°
Space group I-4m2 (No. 119)
One atom of each set of equivalent atoms:
Y 0.0000 0.0000 0.0000
Zn 0.0000 0.5000 0.2500
Ga 0.0000 0.0000 0.3897
Ag 0.0000 0.5000 0.7500


No. 2
First-principles (PBE-GGA) data for a relaxed structure of YZrGaAg, as listed in Alexandria.

Calculated values
- Total magnetization: 0.88 μB per formula unit
- ΔE_f: -0.314 eV/atom
- Calculated density: 6.8 g cm⁻³

a = 7.0269 Å, b = 7.0269 Å, c = 7.0269 Å
α = 90.00°, β = 90.00°, γ = 90.00°
Space group F-43m (No. 216)
One atom of each set of equivalent atoms:
Y 0.0000 0.0000 0.0000
Zr 0.0000 0.0000 0.5000
Ga 0.2500 0.2500 0.2500
Ag 0.2500 0.2500 0.7500


No. 3
First-principles (PBE-GGA) data for a relaxed structure of YbGa2Ag, as listed in Alexandria.

Calculated values
- Total magnetization: 0.22 μB per formula unit
- ΔE_f: -0.466 eV/atom
- Calculated density: 8.8 g cm⁻³

a = 7.0292 Å, b = 4.3378 Å, c = 10.4175 Å
α = 90.00°, β = 90.00°, γ = 90.00°
Space group Pnma (No. 62)
One atom of each set of equivalent atoms:
Yb 0.2217 0.2500 0.1738
Ga 0.0747 0.2500 0.8491
Ga 0.2036 0.7500 0.9656
Ag 0.0412 0.7500 0.4018


No. 4
First-principles (PBE-GGA) data for a relaxed structure of Zn3Ga3Ag2, as listed in Alexandria.

Calculated values
- Total magnetization: 0.00 μB per formula unit
- ΔE_f: 0.035 eV/atom
- Calculated density: 7.3 g cm⁻³
- E above lowest polymorph: 0.09 eV per formula unit

a = 4.7089 Å, b = 8.5119 Å, c = 14.1237 Å
α = 90.00°, β = 90.00°, γ = 90.00°
Space group Cmcm (No. 63)
One atom of each set of equivalent atoms:
Zn 0.0000 0.0732 0.0849
Zn 0.0000 0.0935 0.7500
Ga 0.0000 0.2226 0.2500
Ga 0.0000 0.4260 0.1076
Ag 0.0000 0.2558 0.5751


No. 5
First-principles (PBE-GGA) data for a relaxed structure of ZnGa2Ag2, as listed in Alexandria.

Calculated values
- Total magnetization: 0.00 μB per formula unit
- ΔE_f: 0.102 eV/atom
- Calculated density: 7.5 g cm⁻³
- E above lowest polymorph: 0.31 eV per formula unit

a = 7.9631 Å, b = 7.9631 Å, c = 2.9329 Å
α = 90.00°, β = 90.00°, γ = 90.00°
Space group P4/mbm (No. 127)
One atom of each set of equivalent atoms:
Zn 0.0000 0.0000 0.0000
Ga 0.1717 0.3283 0.5000
Ag 0.1292 0.6292 0.0000


No. 6
First-principles (PBE-GGA) data for a relaxed structure of Zn6Ga2Ag3, as listed in Alexandria.

Calculated values
- Total magnetization: 0.00 μB per formula unit
- ΔE_f: 0.032 eV/atom
- Calculated density: 7.5 g cm⁻³

a = 12.6331 Å, b = 2.8866 Å, c = 10.5275 Å
α = 90.00°, β = 100.96°, γ = 90.00°
Space group C2/m (No. 12)
One atom of each set of equivalent atoms:
Zn 0.0135 0.0000 0.2432
Zn 0.1593 0.5000 0.1491
Zn 0.1591 0.5000 0.6789
Ga 0.1517 0.0000 0.9375
Ag 0.0000 0.0000 0.5000
Ag 0.1741 0.5000 0.4059


No. 7
First-principles (PBE-GGA) data for a relaxed structure of Zn3Ga3Ag, as listed in Alexandria.

Calculated values
- Total magnetization: 0.00 μB per formula unit
- ΔE_f: 0.516 eV/atom
- Calculated density: 4.8 g cm⁻³
- E above lowest polymorph: 3.41 eV per formula unit

a = 7.0730 Å, b = 7.0730 Å, c = 7.0730 Å
α = 90.00°, β = 90.00°, γ = 90.00°
Space group Pm-3n (No. 223)
One atom of each set of equivalent atoms:
Zn 0.0000 0.2500 0.5000
Ga 0.0000 0.5000 0.2500
Ag 0.0000 0.0000 0.0000


No. 8
First-principles (PBE-GGA) data for a relaxed structure of Zn6GaAg3, as listed in Alexandria.

Calculated values
- Total magnetization: 0.00 μB per formula unit
- ΔE_f: 0.042 eV/atom
- Calculated density: 7.8 g cm⁻³
- E above lowest polymorph: 0.61 eV per formula unit

a = 9.3654 Å, b = 9.3654 Å, c = 13.2863 Å
α = 90.00°, β = 90.00°, γ = 120.00°
Space group R-3 (No. 148, hexagonal axes)
One atom of each set of equivalent atoms:
Zn 0.0312 0.5639 0.0958
Zn 0.0576 0.1844 0.8223
Ga 0.0000 0.0000 0.0000
Ga 0.0000 0.0000 0.5000
Ag 0.0038 0.5511 0.3016


No. 9
First-principles (PBE-GGA) data for a relaxed structure of Zn2Ga12Ag5, as listed in Alexandria.

Calculated values
- Total magnetization: 0.00 μB per formula unit
- ΔE_f: 0.061 eV/atom
- Calculated density: 6.8 g cm⁻³

a = 15.5894 Å, b = 5.4907 Å, c = 8.8045 Å
α = 90.00°, β = 101.92°, γ = 90.00°
Space group C2/m (No. 12)
One atom of each set of equivalent atoms:
Zn 0.0000 0.2478 0.0000
Ga 0.0256 0.0000 0.3322
Ga 0.0795 0.5000 0.2523
Ga 0.1439 0.2505 0.6233
Ga 0.2080 0.2565 0.1312
Ag 0.0000 0.5000 0.5000
Ag 0.1264 0.0000 0.8840
Ag 0.2059 0.0000 0.4028


No. 10
First-principles (PBE-GGA) data for a relaxed structure of Zn8GaAg4, as listed in Alexandria.

Calculated values
- Total magnetization: 0.00 μB per formula unit
- ΔE_f: 0.015 eV/atom
- Calculated density: 7.9 g cm⁻³

a = 2.8154 Å, b = 4.4368 Å, c = 17.2019 Å
α = 90.00°, β = 90.00°, γ = 90.00°
Space group Pmm2 (No. 25)
One atom of each set of equivalent atoms:
Zn 0.0000 0.0000 0.0000
Zn 0.0000 0.0000 0.2821
Zn 0.0000 0.5000 0.1953
Zn 0.0000 0.5000 0.6063
Zn 0.5000 0.0000 0.5654
Zn 0.5000 0.0000 0.8532
Zn 0.5000 0.5000 0.0463
Zn 0.5000 0.5000 0.7582
Ga 0.0000 0.0000 0.4331
Ag 0.0000 0.0000 0.7081
Ag 0.0000 0.5000 0.9028
Ag 0.5000 0.0000 0.1428
Ag 0.5000 0.5000 0.3502


No. 11
First-principles (PBE-GGA) data for a relaxed structure of Zn7GaAg3, as listed in Alexandria.

Calculated values
- Total magnetization: 0.00 μB per formula unit
- ΔE_f: 0.072 eV/atom
- Calculated density: 7.4 g cm⁻³
- E above lowest polymorph: 0.38 eV per formula unit

a = 9.8861 Å, b = 9.0731 Å, c = 4.7985 Å
α = 90.00°, β = 117.71°, γ = 90.00°
Space group C2/m (No. 12)
One atom of each set of equivalent atoms:
Zn 0.0000 0.0000 0.0000
Zn 0.1817 0.2662 0.6736
Zn 0.2166 0.5000 0.1075
Ga 0.0000 0.0000 0.5000
Ag 0.0000 0.2939 0.0000
Ag 0.0000 0.5000 0.5000


No. 12
First-principles (PBE-GGA) data for a relaxed structure of Zn12Ga6Ag, as listed in Alexandria.

Calculated values
- Total magnetization: 0.00 μB per formula unit
- ΔE_f: 0.058 eV/atom
- Calculated density: 6.7 g cm⁻³

a = 14.5042 Å, b = 14.5042 Å, c = 5.3127 Å
α = 90.00°, β = 90.00°, γ = 120.00°
Space group R-3 (No. 148, hexagonal axes)
One atom of each set of equivalent atoms:
Zn 0.0566 0.8944 0.3341
Zn 0.0809 0.8572 0.8391
Ga 0.0204 0.4192 0.1510
Ag 0.0000 0.0000 0.0000


No. 13
First-principles (PBE-GGA) data for a relaxed structure of ZnGa6Ag3, as listed in Alexandria.

Calculated values
- Total magnetization: 0.00 μB per formula unit
- ΔE_f: 0.079 eV/atom
- Calculated density: 6.7 g cm⁻³
- E above lowest polymorph: 0.62 eV per formula unit

a = 9.0366 Å, b = 13.4917 Å, c = 6.5306 Å
α = 90.00°, β = 90.00°, γ = 90.00°
Space group Cmc2_1 (No. 36)
One atom of each set of equivalent atoms:
Zn 0.0000 0.1468 0.0000
Ga 0.0000 0.0376 0.6717
Ga 0.0000 0.2469 0.6650
Ga 0.1664 0.4966 0.1107
Ga 0.1977 0.2817 0.1329
Ag 0.0000 0.3837 0.3736
Ag 0.1637 0.1134 0.3465


No. 14
First-principles (PBE-GGA) data for a relaxed structure of Zn2GaAg2, as listed in Alexandria.

Calculated values
- Total magnetization: 0.00 μB per formula unit
- ΔE_f: 0.136 eV/atom
- Calculated density: 7.3 g cm⁻³
- E above lowest polymorph: 0.74 eV per formula unit

a = 3.8923 Å, b = 3.8923 Å, c = 12.5854 Å
α = 90.00°, β = 90.00°, γ = 90.00°
Space group I4/mmm (No. 139)
One atom of each set of equivalent atoms:
Zn 0.0000 0.0000 0.0981
Ga 0.0000 0.0000 0.5000
Ag 0.0000 0.5000 0.2500


No. 15
First-principles (PBE-GGA) data for a relaxed structure of Zn5GaAg6, as listed in Alexandria.

Calculated values
- Total magnetization: 0.00 μB per formula unit
- ΔE_f: -0.018 eV/atom
- Calculated density: 8.8 g cm⁻³

a = 4.1676 Å, b = 12.6407 Å, c = 7.4483 Å
α = 90.00°, β = 90.18°, γ = 90.00°
Space group C2/m (No. 12)
One atom of each set of equivalent atoms:
Zn 0.0000 0.0000 0.0000
Zn 0.0000 0.3315 0.5000
Zn 0.0000 0.3345 0.0000
Ga 0.0000 0.0000 0.5000
Ag 0.0003 0.1674 0.2476
Ag 0.0006 0.5000 0.2485


No. 16
First-principles (PBE-GGA) data for a relaxed structure of Zn3Ga2Ag7, as listed in Alexandria.

Calculated values
- Total magnetization: 0.00 μB per formula unit
- ΔE_f: -0.002 eV/atom
- Calculated density: 8.9 g cm⁻³

a = 5.0002 Å, b = 5.0138 Å, c = 8.8889 Å
α = 98.17°, β = 97.98°, γ = 109.75°
Space group P-1 (No. 2)
One atom of each set of equivalent atoms:
Zn 0.0000 0.0000 0.0000
Zn 0.3383 0.3372 0.6680
Ga 0.1711 0.1708 0.3367
Ag 0.0757 0.5849 0.1681
Ag 0.2499 0.7502 0.5001
Ag 0.4154 0.9244 0.8322
Ag 0.5000 0.5000 0.0000


No. 17
First-principles (PBE-GGA) data for a relaxed structure of ZnGa7Ag12, as listed in Alexandria.

Calculated values
- Total magnetization: 0.00 μB per formula unit
- ΔE_f: 0.117 eV/atom
- Calculated density: 8.1 g cm⁻³

a = 11.0961 Å, b = 11.0961 Å, c = 10.7223 Å
α = 90.00°, β = 90.00°, γ = 120.00°
Space group R-3m (No. 166, hexagonal axes)
One atom of each set of equivalent atoms:
Zn 0.0000 0.0000 0.0000
Ga 0.0000 0.0000 0.5000
Ga 0.1011 0.2021 0.8372
Ag 0.0088 0.5044 0.7492
Ag 0.0968 0.1936 0.3383


No. 18
First-principles (PBE-GGA) data for a relaxed structure of Zn3GaAg, as listed in Alexandria.

Calculated values
- Total magnetization: 0.00 μB per formula unit
- ΔE_f: 0.015 eV/atom
- Calculated density: 7.6 g cm⁻³
- E above lowest polymorph: 0.00 eV per formula unit

a = 4.6750 Å, b = 5.8179 Å, c = 6.4458 Å
α = 90.00°, β = 110.93°, γ = 90.00°
Space group P2_1/m (No. 11)
One atom of each set of equivalent atoms:
Zn 0.1107 0.2500 0.2338
Zn 0.3069 0.0050 0.6202
Ga 0.4959 0.2500 0.0053
Ag 0.1221 0.7500 0.2353


No. 19
First-principles (PBE-GGA) data for a relaxed structure of Zn6GaAg, as listed in Alexandria.

Calculated values
- Total magnetization: 0.00 μB per formula unit
- ΔE_f: 0.023 eV/atom
- Calculated density: 7.5 g cm⁻³
- E above lowest polymorph: 0.06 eV per formula unit

a = 3.8815 Å, b = 8.0394 Å, c = 8.0864 Å
α = 90.00°, β = 90.00°, γ = 90.00°
Space group Amm2 (No. 38)
One atom of each set of equivalent atoms:
Zn 0.0000 0.0000 0.0000
Zn 0.0000 0.2449 0.2465
Zn 0.5000 0.0000 0.2383
Zn 0.5000 0.2480 0.9966
Ga 0.0000 0.0000 0.4924
Ag 0.5000 0.0000 0.7504


No. 20
First-principles (PBE-GGA) data for a relaxed structure of Zn4Ga7Ag, as listed in Alexandria.

Calculated values
- Total magnetization: 0.00 μB per formula unit
- ΔE_f: 0.091 eV/atom
- Calculated density: 6.5 g cm⁻³

a = 4.3845 Å, b = 4.3845 Å, c = 13.1401 Å
α = 90.00°, β = 90.00°, γ = 120.00°
Space group P-3m1 (No. 164)
One atom of each set of equivalent atoms:
Zn 0.3333 0.6667 0.1477
Zn 0.3333 0.6667 0.4177
Ga 0.0000 0.0000 0.2464
Ga 0.0000 0.0000 0.5000
Ga 0.3333 0.6667 0.6635
Ga 0.3333 0.6667 0.9016
Ag 0.0000 0.0000 0.0000